Compound: Ta2Al
Source: the Alexandria database
Functional: GGA-PBE
Structure: relaxed

The structure in POSCAR format:
```
Ta2Al
1.0
5.346 -1.454 0.000
5.346 1.454 0.000
-1.774 0.000 6.806
Ta Al
4 2
Direct
0.000 0.000 0.000
0.055 0.055 0.620
0.386 0.386 0.296
0.731 0.731 0.961
0.331 0.331 0.672
0.661 0.661 0.342
```

As for the symmetry: Cm (8). For the total energy, the calculation gives -9.220 eV/atom. The calculation puts the formation energy at -70.6 meV per atom. The density comes out at 12.2 g/cm3. Its calculated volume is 105.81 Å³ per cell.